A relaxed Ba2CoW crystal, computed with PBE-GGA.

Calculated values
- total magnetization (Bohr magnetons per cell) = 0.3
- energy relative to the lowest polymorph listed for this composition (eV per atom) = 0.254
- calculated formation energy (eV/f.u.) = 2.942
- crystal system = orthorhombic
- calculated volume (A^3/atom) = 30.00

a = 10.0219 Å, b = 10.0219 Å, c = 10.0219 Å
α = 160.51°, β = 159.06°, γ = 28.76°
With the nearest neighbours (Å) after each atom.
Fractional coordinates of all 4 atoms:
Co 0.2500 0.7500 0.5000  4 W 2.49
Ba 0.1054 0.1054 0.0000  2 Co 3.28, 2 W 3.35, 4 Ba 3.39-3.64
Ba 0.3946 0.3946 0.0000  2 Co 3.28, 2 W 3.35, 4 Ba 3.39-3.64
W 0.7500 0.2500 0.5000  4 Co 2.49